[1]
Density functional theory data (PBE) for a relaxed structure of Tm2InSi2Ru5.

```
data_Tm2InSi2Ru5
_chemical_formula_sum 'Tm4 In2 Si4 Ru10'
_space_group_name_H-M_alt 'P 4/m b m'
_space_group_IT_number 127
_space_group_name_Hall '-P 4 2ab'
_cell_length_a 10.0216
_cell_length_b 10.0216
_cell_length_c 3.2843
_cell_angle_alpha 90.00
_cell_angle_beta 90.00
_cell_angle_gamma 90.00
loop_
_atom_site_label
_atom_site_type_symbol
_atom_site_fract_x
_atom_site_fract_y
_atom_site_fract_z
_atom_site_occupancy
Tm1 Tm 0.1737 0.3263 0.0000 1
In1 In 0.0000 0.0000 0.0000 1
Si1 Si 0.1258 0.6258 0.0000 1
Ru1 Ru 0.0000 0.5000 0.5000 1
Ru2 Ru 0.0693 0.7859 0.5000 1
```

## Properties
* energy relative to the elements, uncorrected: -0.609 eV/atom

=====

[2]
Density functional theory data (PBE) for a relaxed structure of U2InSi2Ru5.

```
data_U2InSi2Ru5
_chemical_formula_sum 'U4 In2 Si4 Ru10'
_space_group_name_H-M_alt 'P 4/m b m'
_space_group_IT_number 127
_space_group_name_Hall '-P 4 2ab'
_cell_length_a 9.8838
_cell_length_b 9.8838
_cell_length_c 3.4236
_cell_angle_alpha 90.00
_cell_angle_beta 90.00
_cell_angle_gamma 90.00
loop_
_atom_site_label
_atom_site_type_symbol
_atom_site_fract_x
_atom_site_fract_y
_atom_site_fract_z
_atom_site_occupancy
U1 U 0.1778 0.3222 0.0000 1
In1 In 0.0000 0.0000 0.0000 1
Si1 Si 0.1208 0.6208 0.0000 1
Ru1 Ru 0.0000 0.5000 0.5000 1
Ru2 Ru 0.0755 0.7849 0.5000 1
```

## Properties
* energy relative to the elements, uncorrected: -0.424 eV/atom

=====

[3]
Density functional theory data (PBE) for a relaxed structure of Y2InSi2Ru5.

```
data_Y2InSi2Ru5
_chemical_formula_sum 'Y4 In2 Si4 Ru10'
_space_group_name_H-M_alt 'P 4/m b m'
_space_group_IT_number 127
_space_group_name_Hall '-P 4 2ab'
_cell_length_a 10.0958
_cell_length_b 10.0958
_cell_length_c 3.2948
_cell_angle_alpha 90.00
_cell_angle_beta 90.00
_cell_angle_gamma 90.00
loop_
_atom_site_label
_atom_site_type_symbol
_atom_site_fract_x
_atom_site_fract_y
_atom_site_fract_z
_atom_site_occupancy
Y1 Y 0.1741 0.3259 0.0000 1
In1 In 0.0000 0.0000 0.0000 1
Si1 Si 0.1253 0.6253 0.0000 1
Ru1 Ru 0.0000 0.5000 0.5000 1
Ru2 Ru 0.0687 0.7851 0.5000 1
```

## Properties
* energy relative to the elements, uncorrected: -0.574 eV/atom

=====

[4]
Density functional theory data (PBE) for a relaxed structure of Sm3In2Ru.

```
data_Sm3In2Ru
_chemical_formula_sum 'Sm12 In8 Ru4'
_space_group_name_H-M_alt 'C 1 2/m 1'
_space_group_IT_number 12
_space_group_name_Hall '-C 2y'
_cell_length_a 7.9411
_cell_length_b 10.7160
_cell_length_c 8.1144
_cell_angle_alpha 90.00
_cell_angle_beta 99.16
_cell_angle_gamma 90.00
loop_
_atom_site_label
_atom_site_type_symbol
_atom_site_fract_x
_atom_site_fract_y
_atom_site_fract_z
_atom_site_occupancy
Sm1 Sm 0.1700 0.0000 0.1662 1
Sm2 Sm 0.2246 0.1811 0.7723 1
In1 In 0.0000 0.0000 0.5000 1
In2 In 0.0000 0.3662 0.5000 1
In3 In 0.0000 0.5000 0.0000 1
Ru1 Ru 0.0000 0.2196 0.0000 1
```

## Properties
* energy relative to the lowest polymorph listed for this composition: 114 meV per atom

=====

[5]
Density functional theory data (PBE) for a relaxed structure of Sm4InRu.

```
data_Sm4InRu
_chemical_formula_sum 'Sm16 In4 Ru4'
_space_group_name_H-M_alt 'C 1 2/c 1'
_space_group_IT_number 15
_space_group_name_Hall '-C 2yc'
_cell_length_a 8.8827
_cell_length_b 13.2031
_cell_length_c 6.2840
_cell_angle_alpha 90.00
_cell_angle_beta 107.43
_cell_angle_gamma 90.00
loop_
_atom_site_label
_atom_site_type_symbol
_atom_site_fract_x
_atom_site_fract_y
_atom_site_fract_z
_atom_site_occupancy
Sm1 Sm 0.1094 0.1674 0.0468 1
Sm2 Sm 0.2168 0.4209 0.3950 1
In1 In 0.0000 0.3766 0.7500 1
Ru1 Ru 0.0000 0.0003 0.2500 1
```

## Properties
* energy relative to the lowest polymorph listed for this composition: 45 meV per atom

=====

[6]
Density functional theory data (PBE) for a relaxed structure of Sm2In8Ru.

```
data_Sm2In8Ru
_chemical_formula_sum 'Sm2 In8 Ru1'
_space_group_name_H-M_alt 'P 4/m m m'
_space_group_IT_number 123
_space_group_name_Hall '-P 4 2'
_cell_length_a 4.6617
_cell_length_b 4.6617
_cell_length_c 12.3632
_cell_angle_alpha 90.00
_cell_angle_beta 90.00
_cell_angle_gamma 90.00
loop_
_atom_site_label
_atom_site_type_symbol
_atom_site_fract_x
_atom_site_fract_y
_atom_site_fract_z
_atom_site_occupancy
Sm1 Sm 0.0000 0.0000 0.1922 1
In1 In 0.0000 0.5000 0.0000 1
In2 In 0.0000 0.5000 0.3791 1
In3 In 0.5000 0.5000 0.1907 1
Ru1 Ru 0.0000 0.0000 0.5000 1
```

## Properties
* electronic total energy: -4.053 eV/atom

=====

[7]
Density functional theory data (PBE) for a relaxed structure of Sm12InRu6.

```
data_Sm12InRu6
_chemical_formula_sum 'Sm24 In2 Ru12'
_space_group_name_H-M_alt 'I m -3'
_space_group_IT_number 204
_space_group_name_Hall '-I 2 2 3'
_cell_length_a 10.0438
_cell_length_b 10.0438
_cell_length_c 10.0438
_cell_angle_alpha 90.00
_cell_angle_beta 90.00
_cell_angle_gamma 90.00
loop_
_atom_site_label
_atom_site_type_symbol
_atom_site_fract_x
_atom_site_fract_y
_atom_site_fract_z
_atom_site_occupancy
Sm1 Sm 0.0000 0.2975 0.1959 1
In1 In 0.0000 0.0000 0.0000 1
Ru1 Ru 0.0000 0.1220 0.5000 1
```

## Properties
* electronic total energy: -6.281 eV/atom

=====

[8]
Density functional theory data (PBE) for a relaxed structure of Sm6In3Ru.

```
data_Sm6In3Ru
_chemical_formula_sum 'Sm12 In6 Ru2'
_space_group_name_H-M_alt 'P 1 21/m 1'
_space_group_IT_number 11
_space_group_name_Hall '-P 2yb'
_cell_length_a 9.4005
_cell_length_b 5.3724
_cell_length_c 11.5683
_cell_angle_alpha 90.00
_cell_angle_beta 107.66
_cell_angle_gamma 90.00
loop_
_atom_site_label
_atom_site_type_symbol
_atom_site_fract_x
_atom_site_fract_y
_atom_site_fract_z
_atom_site_occupancy
Sm1 Sm 0.0424 0.2500 0.4157 1
Sm2 Sm 0.1914 0.7500 0.1657 1
Sm3 Sm 0.2839 0.2500 0.0028 1
Sm4 Sm 0.3509 0.7500 0.8286 1
Sm5 Sm 0.3765 0.2500 0.3497 1
Sm6 Sm 0.3966 0.2500 0.6464 1
In1 In 0.0117 0.7500 0.8781 1
In2 In 0.0922 0.2500 0.7194 1
In3 In 0.2708 0.7500 0.4747 1
Ru1 Ru 0.4628 0.7500 0.0939 1
```

## Properties
* energy relative to the lowest polymorph listed for this composition: 0 meV per atom

=====

[9]
Density functional theory data (PBE) for a relaxed structure of Sm2InRu.

```
data_Sm2InRu
_chemical_formula_sum 'Sm2 In1 Ru1'
_space_group_name_H-M_alt 'P 4/m m m'
_space_group_IT_number 123
_space_group_name_Hall '-P 4 2'
_cell_length_a 5.1049
_cell_length_b 5.1049
_cell_length_c 3.7376
_cell_angle_alpha 90.00
_cell_angle_beta 90.00
_cell_angle_gamma 90.00
loop_
_atom_site_label
_atom_site_type_symbol
_atom_site_fract_x
_atom_site_fract_y
_atom_site_fract_z
_atom_site_occupancy
Sm1 Sm 0.0000 0.5000 0.0000 1
In1 In 0.0000 0.0000 0.5000 1
Ru1 Ru 0.5000 0.5000 0.5000 1
```

## Properties
* energy relative to the lowest polymorph listed for this composition: 120 meV per atom

=====

[10]
Density functional theory data (PBE) for a relaxed structure of Sm5InRu2.

```
data_Sm5InRu2
_chemical_formula_sum 'Sm20 In4 Ru8'
_space_group_name_H-M_alt 'I 4/m c m'
_space_group_IT_number 140
_space_group_name_Hall '-I 4 2c'
_cell_length_a 7.9032
_cell_length_b 7.9032
_cell_length_c 13.8307
_cell_angle_alpha 90.00
_cell_angle_beta 90.00
_cell_angle_gamma 90.00
loop_
_atom_site_label
_atom_site_type_symbol
_atom_site_fract_x
_atom_site_fract_y
_atom_site_fract_z
_atom_site_occupancy
Sm1 Sm 0.0000 0.0000 0.0000 1
Sm2 Sm 0.1593 0.3407 0.1322 1
In1 In 0.0000 0.0000 0.2500 1
Ru1 Ru 0.1430 0.3570 0.5000 1
```

## Properties
* electronic total energy: -5.941 eV/atom

=====

[11]
Density functional theory data (PBE) for a relaxed structure of Sm4InRu.

```
data_Sm4InRu
_chemical_formula_sum 'Sm64 In16 Ru16'
_space_group_name_H-M_alt 'F -4 3 m'
_space_group_IT_number 216
_space_group_name_Hall 'F -4 2 3'
_cell_length_a 13.8911
_cell_length_b 13.8911
_cell_length_c 13.8911
_cell_angle_alpha 90.00
_cell_angle_beta 90.00
_cell_angle_gamma 90.00
loop_
_atom_site_label
_atom_site_type_symbol
_atom_site_fract_x
_atom_site_fract_y
_atom_site_fract_z
_atom_site_occupancy
Sm1 Sm 0.0000 0.0000 0.1902 1
Sm2 Sm 0.0576 0.2500 0.7500 1
Sm3 Sm 0.0971 0.0971 0.4029 1
In1 In 0.1687 0.1687 0.1687 1
Ru1 Ru 0.1122 0.1122 0.6122 1
```

## Properties
* energy relative to the lowest polymorph listed for this composition: 0 meV per atom

=====

[12]
Density functional theory data (PBE) for a relaxed structure of Sm3In2Ru.

```
data_Sm3In2Ru
_chemical_formula_sum 'Sm12 In8 Ru4'
_space_group_name_H-M_alt 'P n m a'
_space_group_IT_number 62
_space_group_name_Hall '-P 2ac 2n'
_cell_length_a 12.9694
_cell_length_b 4.6438
_cell_length_c 10.8019
_cell_angle_alpha 90.00
_cell_angle_beta 90.00
_cell_angle_gamma 90.00
loop_
_atom_site_label
_atom_site_type_symbol
_atom_site_fract_x
_atom_site_fract_y
_atom_site_fract_z
_atom_site_occupancy
Sm1 Sm 0.0562 0.2500 0.1019 1
Sm2 Sm 0.1111 0.7500 0.5465 1
Sm3 Sm 0.2350 0.7500 0.2663 1
In1 In 0.0164 0.2500 0.7196 1
In2 In 0.1999 0.7500 0.9646 1
Ru1 Ru 0.1070 0.2500 0.3539 1
```

## Properties
* energy relative to the lowest polymorph listed for this composition: 0 meV per atom

=====

[13]
Density functional theory data (PBE) for a relaxed structure of Sm7InRu4.

```
data_Sm7InRu4
_chemical_formula_sum 'Sm14 In2 Ru8'
_space_group_name_H-M_alt 'C 1 2/m 1'
_space_group_IT_number 12
_space_group_name_Hall '-C 2y'
_cell_length_a 13.6914
_cell_length_b 5.6834
_cell_length_c 9.8250
_cell_angle_alpha 90.00
_cell_angle_beta 126.53
_cell_angle_gamma 90.00
loop_
_atom_site_label
_atom_site_type_symbol
_atom_site_fract_x
_atom_site_fract_y
_atom_site_fract_z
_atom_site_occupancy
Sm1 Sm 0.0000 0.0000 0.0000 1
Sm2 Sm 0.0794 0.5000 0.3780 1
Sm3 Sm 0.1772 0.0000 0.6308 1
Sm4 Sm 0.2096 0.5000 0.8807 1
In1 In 0.0000 0.5000 0.0000 1
Ru1 Ru 0.0639 0.0000 0.7754 1
Ru2 Ru 0.1976 0.0000 0.3461 1
```

## Properties
* electronic total energy: -6.092 eV/atom

=====

[14]
Density functional theory data (PBE) for a relaxed structure of Sm2InRu.

```
data_Sm2InRu
_chemical_formula_sum 'Sm6 In3 Ru3'
_space_group_name_H-M_alt 'R -3 m'
_space_group_IT_number 166
_space_group_name_Hall '-R 3 2"'
_cell_length_a 3.7613
_cell_length_b 3.7613
_cell_length_c 26.3463
_cell_angle_alpha 90.00
_cell_angle_beta 90.00
_cell_angle_gamma 120.00
loop_
_atom_site_label
_atom_site_type_symbol
_atom_site_fract_x
_atom_site_fract_y
_atom_site_fract_z
_atom_site_occupancy
Sm1 Sm 0.0000 0.0000 0.2356 1
In1 In 0.0000 0.0000 0.0000 1
Ru1 Ru 0.0000 0.0000 0.5000 1
```

## Properties
* energy relative to the lowest polymorph listed for this composition: 197 meV per atom

=====

[15]
Density functional theory data (PBE) for a relaxed structure of Sm3InRu.

```
data_Sm3InRu
_chemical_formula_sum 'Sm6 In2 Ru2'
_space_group_name_H-M_alt 'P 1'
_space_group_IT_number 1
_space_group_name_Hall 'P 1'
_cell_length_a 5.9417
_cell_length_b 6.8215
_cell_length_c 7.9026
_cell_angle_alpha 112.24
_cell_angle_beta 92.98
_cell_angle_gamma 106.66
loop_
_atom_site_label
_atom_site_type_symbol
_atom_site_fract_x
_atom_site_fract_y
_atom_site_fract_z
_atom_site_occupancy
Sm1 Sm 0.0000 0.0000 0.0000 1
Sm2 Sm 0.0835 0.5996 0.2653 1
Sm3 Sm 0.4143 0.6994 0.7197 1
Sm4 Sm 0.5353 0.2873 0.3282 1
Sm5 Sm 0.7074 0.8794 0.3861 1
Sm6 Sm 0.8738 0.3756 0.7614 1
In1 In 0.2715 0.0918 0.6170 1
In2 In 0.4630 0.4514 0.0024 1
Ru1 Ru 0.0435 0.2788 0.4110 1
Ru2 Ru 0.8824 0.7031 0.6092 1
```

## Properties
* energy relative to the lowest polymorph listed for this composition: 85 meV per atom

=====

[16]
Density functional theory data (PBE) for a relaxed structure of Sm3InRu.

```
data_Sm3InRu
_chemical_formula_sum 'Sm3 In1 Ru1'
_space_group_name_H-M_alt 'P m -3 m'
_space_group_IT_number 221
_space_group_name_Hall '-P 4 2 3'
_cell_length_a 5.3871
_cell_length_b 5.3871
_cell_length_c 5.3871
_cell_angle_alpha 90.00
_cell_angle_beta 90.00
_cell_angle_gamma 90.00
loop_
_atom_site_label
_atom_site_type_symbol
_atom_site_fract_x
_atom_site_fract_y
_atom_site_fract_z
_atom_site_occupancy
Sm1 Sm 0.0000 0.0000 0.5000 1
In1 In 0.5000 0.5000 0.5000 1
Ru1 Ru 0.0000 0.0000 0.0000 1
```

## Properties
* energy relative to the lowest polymorph listed for this composition: 187 meV per atom

=====

[17]
Density functional theory data (PBE) for a relaxed structure of Sm3InRu.

```
data_Sm3InRu
_chemical_formula_sum 'Sm24 In8 Ru8'
_space_group_name_H-M_alt 'F m m m'
_space_group_IT_number 69
_space_group_name_Hall '-F 2 2'
_cell_length_a 6.7148
_cell_length_b 9.8660
_cell_length_c 16.2837
_cell_angle_alpha 90.00
_cell_angle_beta 90.00
_cell_angle_gamma 90.00
loop_
_atom_site_label
_atom_site_type_symbol
_atom_site_fract_x
_atom_site_fract_y
_atom_site_fract_z
_atom_site_occupancy
Sm1 Sm 0.0000 0.0000 0.2002 1
Sm2 Sm 0.0000 0.1936 0.3900 1
In1 In 0.2069 0.0000 0.0000 1
Ru1 Ru 0.2500 0.2500 0.2500 1
```

## Properties
* energy relative to the lowest polymorph listed for this composition: 0 meV per atom

=====

[18]
Density functional theory data (PBE) for a relaxed structure of Sm7In2Ru2.

```
data_Sm7In2Ru2
_chemical_formula_sum 'Sm14 In4 Ru4'
_space_group_name_H-M_alt 'C m m m'
_space_group_IT_number 65
_space_group_name_Hall '-C 2 2'
_cell_length_a 8.1791
_cell_length_b 11.2220
_cell_length_c 7.2085
_cell_angle_alpha 90.00
_cell_angle_beta 90.00
_cell_angle_gamma 90.00
loop_
_atom_site_label
_atom_site_type_symbol
_atom_site_fract_x
_atom_site_fract_y
_atom_site_fract_z
_atom_site_occupancy
Sm1 Sm 0.0000 0.0000 0.0000 1
Sm2 Sm 0.0000 0.5000 0.2428 1
Sm3 Sm 0.2500 0.2500 0.2507 1
In1 In 0.1737 0.0000 0.5000 1
Ru1 Ru 0.0000 0.2946 0.0000 1
```

## Properties
* electronic total energy: -5.418 eV/atom

=====

[19]
Density functional theory data (PBE) for a relaxed structure of Sm8InRu2.

```
data_Sm8InRu2
_chemical_formula_sum 'Sm16 In2 Ru4'
_space_group_name_H-M_alt 'C 1 2/m 1'
_space_group_IT_number 12
_space_group_name_Hall '-C 2y'
_cell_length_a 8.9484
_cell_length_b 13.4230
_cell_length_c 5.5179
_cell_angle_alpha 90.00
_cell_angle_beta 103.19
_cell_angle_gamma 90.00
loop_
_atom_site_label
_atom_site_type_symbol
_atom_site_fract_x
_atom_site_fract_y
_atom_site_fract_z
_atom_site_occupancy
Sm1 Sm 0.0000 0.2494 0.0000 1
Sm2 Sm 0.1141 0.0000 0.8010 1
Sm3 Sm 0.1957 0.3702 0.5689 1
In1 In 0.0000 0.5000 0.0000 1
Ru1 Ru 0.0000 0.1909 0.5000 1
```

## Properties
* electronic total energy: -5.547 eV/atom